PmNb2H8 | PBE-GGA | optimized geometry

Lattice parameters (Å, degrees): 4.371 4.371 5.491 90.00 90.00 90.00
Space group P4/mmm (No. 123)
Unique sites:
Pm 0.000 0.000 0.000
Nb 0.000 0.500 0.500
H 0.268 0.268 0.284

## Properties
M_tot = 0.00 μB/atom
calculated total energy = -4.9638 eV per atom

=====

PmNbH | PBE-GGA | optimized geometry

Lattice parameters (Å, degrees): 3.3530 3.3530 31.9682 90.00 90.00 120.00
Space group R-3m (No. 166, hexagonal axes)
Unique sites:
Pm 0.0000 0.0000 0.1144
Nb 0.0000 0.0000 0.3024
H 0.0000 0.0000 0.3956

## Properties
M_tot = 0.00 μB/atom
calculated total energy = -5.9920 eV per atom

=====

PmNb2H | PBE-GGA | optimized geometry

Lattice parameters (Å, degrees): 3.0207 3.0207 26.1077 90.00 90.00 120.00
Space group R-3m (No. 166, hexagonal axes)
Unique sites:
Pm 0.0000 0.0000 0.0000
Nb 0.0000 0.0000 0.1171
H 0.0000 0.0000 0.5000

## Properties
M_tot = 0.00 μB/atom
calculated total energy = -6.7005 eV per atom